i) # Zn3BrF, optimized geometry, DFT GGA-PBE
data_Zn3BrF
_chemical_formula_sum 'Zn3 Br1 F1'
_space_group_name_H-M_alt 'P m -3 m'
_space_group_IT_number 221
_space_group_name_Hall '-P 4 2 3'
_cell_length_a 5.446
_cell_length_b 5.446
_cell_length_c 5.446
_cell_angle_alpha 90.00
_cell_angle_beta 90.00
_cell_angle_gamma 90.00
loop_
_atom_site_label
_atom_site_type_symbol
_atom_site_fract_x
_atom_site_fract_y
_atom_site_fract_z
Zn1 Zn 0.000 0.000 0.500
Br1 Br 0.000 0.000 0.000
F1 F 0.500 0.500 0.500
# Total magnetic moment ... 0.0 Bohr magnetons per cell
# D(E_F) ... 1.9 states/eV/f.u.


ii) # Zn3BrF, optimized geometry, DFT GGA-PBE
data_Zn3BrF
_chemical_formula_sum 'Zn3 Br1 F1'
_space_group_name_H-M_alt 'P m -3 m'
_space_group_IT_number 221
_space_group_name_Hall '-P 4 2 3'
_cell_length_a 4.725
_cell_length_b 4.725
_cell_length_c 4.725
_cell_angle_alpha 90.00
_cell_angle_beta 90.00
_cell_angle_gamma 90.00
loop_
_atom_site_label
_atom_site_type_symbol
_atom_site_fract_x
_atom_site_fract_y
_atom_site_fract_z
Zn1 Zn 0.000 0.000 0.500
Br1 Br 0.500 0.500 0.500
F1 F 0.000 0.000 0.000
# Total magnetic moment ... 0.0 Bohr magnetons per cell
# D(E_F) ... 4.8 states/eV/f.u.


Quick one: least stable of them? i)


i) # Zn2BrF, optimized geometry, DFT GGA-PBE
data_Zn2BrF
_chemical_formula_sum 'Zn8 Br4 F4'
_space_group_name_H-M_alt 'I -4 2 d'
_space_group_IT_number 122
_space_group_name_Hall 'I -4 2bw'
_cell_length_a 4.880
_cell_length_b 4.880
_cell_length_c 14.351
_cell_angle_alpha 90.00
_cell_angle_beta 90.00
_cell_angle_gamma 90.00
loop_
_atom_site_label
_atom_site_type_symbol
_atom_site_fract_x
_atom_site_fract_y
_atom_site_fract_z
Zn1 Zn 0.123 0.250 0.125
Br1 Br 0.000 0.000 0.500
F1 F 0.000 0.000 0.000
# Total magnetic moment ... 0.0 Bohr magnetons per cell
# D(E_F) ... 1.6 states/eV/f.u.


ii) # Zn2BrF, optimized geometry, DFT GGA-PBE
data_Zn2BrF
_chemical_formula_sum 'Zn8 Br4 F4'
_space_group_name_H-M_alt 'F m -3 m'
_space_group_IT_number 225
_space_group_name_Hall '-F 4 2 3'
_cell_length_a 6.576
_cell_length_b 6.576
_cell_length_c 6.576
_cell_angle_alpha 90.00
_cell_angle_beta 90.00
_cell_angle_gamma 90.00
loop_
_atom_site_label
_atom_site_type_symbol
_atom_site_fract_x
_atom_site_fract_y
_atom_site_fract_z
Zn1 Zn 0.250 0.250 0.250
Br1 Br 0.000 0.000 0.000
F1 F 0.000 0.000 0.500
# Total magnetic moment ... 0.0 Bohr magnetons per cell
# D(E_F) ... 1.6 states/eV/f.u.


Quick one: least stable of them? ii)


i) # ZrBrF2, optimized geometry, DFT GGA-PBE
data_ZrBrF2
_chemical_formula_sum 'Zr3 Br3 F6'
_space_group_name_H-M_alt 'R -3 m'
_space_group_IT_number 166
_space_group_name_Hall '-R 3 2"'
_cell_length_a 3.0327
_cell_length_b 3.0327
_cell_length_c 30.7659
_cell_angle_alpha 90.00
_cell_angle_beta 90.00
_cell_angle_gamma 120.00
loop_
_atom_site_label
_atom_site_type_symbol
_atom_site_fract_x
_atom_site_fract_y
_atom_site_fract_z
Zr1 Zr 0.0000 0.0000 0.0000
Br1 Br 0.0000 0.0000 0.5000
F1 F 0.0000 0.0000 0.3807
# Total magnetic moment ... 0.0 Bohr magnetons per cell
# D(E_F) ... 2.5 states/eV/f.u.


ii) # ZrBrF2, optimized geometry, DFT GGA-PBE
data_ZrBrF2
_chemical_formula_sum 'Zr4 Br4 F8'
_space_group_name_H-M_alt 'F m -3 m'
_space_group_IT_number 225
_space_group_name_Hall '-F 4 2 3'
_cell_length_a 6.128
_cell_length_b 6.128
_cell_length_c 6.128
_cell_angle_alpha 90.00
_cell_angle_beta 90.00
_cell_angle_gamma 90.00
loop_
_atom_site_label
_atom_site_type_symbol
_atom_site_fract_x
_atom_site_fract_y
_atom_site_fract_z
Zr1 Zr 0.000 0.000 0.000
Br1 Br 0.000 0.000 0.500
F1 F 0.250 0.250 0.250
# Total magnetic moment ... 2.8 Bohr magnetons per cell
# D(E_F) ... 2.3 states/eV/f.u.


Quick one: least stable of them? ii)


i) # Fe2Br, optimized geometry, DFT GGA-PBE
data_Fe2Br
_chemical_formula_sum 'Fe4 Br2'
_space_group_name_H-M_alt 'P 63/m m c'
_space_group_IT_number 194
_space_group_name_Hall '-P 6c 2c'
_cell_length_a 3.2115
_cell_length_b 3.2115
_cell_length_c 11.2415
_cell_angle_alpha 90.00
_cell_angle_beta 90.00
_cell_angle_gamma 120.00
loop_
_atom_site_label
_atom_site_type_symbol
_atom_site_fract_x
_atom_site_fract_y
_atom_site_fract_z
Fe1 Fe 0.3333 0.6667 0.0710
Br1 Br 0.0000 0.0000 0.2500
# Total magnetic moment ... 11.8 Bohr magnetons per cell
# D(E_F) ... 2.0 states/eV/f.u.


ii) # Fe2Br, optimized geometry, DFT GGA-PBE
data_Fe2Br
_chemical_formula_sum 'Fe8 Br4'
_space_group_name_H-M_alt 'C 1 2/m 1'
_space_group_IT_number 12
_cell_length_a 11.584
_cell_length_b 3.189
_cell_length_c 7.047
_cell_angle_alpha 90.00
_cell_angle_beta 122.67
_cell_angle_gamma 90.00
loop_
_space_group_symop_operation_xyz
'x,y,z'
'-x,-y,-z'
'-x,y,-z'
'x,-y,z'
'x+1/2,y+1/2,z'
'-x+1/2,-y+1/2,-z'
'-x+1/2,y+1/2,-z'
'x+1/2,-y+1/2,z'
loop_
_atom_site_label
_atom_site_type_symbol
_atom_site_fract_x
_atom_site_fract_y
_atom_site_fract_z
Fe1 Fe 0.152 0.000 0.354
Fe2 Fe 0.227 0.000 0.736
Br1 Br 0.078 0.500 0.833
# Total magnetic moment ... 23.2 Bohr magnetons per cell
# D(E_F) ... 2.0 states/eV/f.u.


iii) # Fe2Br, optimized geometry, DFT GGA-PBE
data_Fe2Br
_chemical_formula_sum 'Fe8 Br4'
_space_group_name_H-M_alt 'C m c m'
_space_group_IT_number 63
_space_group_name_Hall '-C 2c 2'
_cell_length_a 3.681
_cell_length_b 16.967
_cell_length_c 3.605
_cell_angle_alpha 90.00
_cell_angle_beta 90.00
_cell_angle_gamma 90.00
loop_
_atom_site_label
_atom_site_type_symbol
_atom_site_fract_x
_atom_site_fract_y
_atom_site_fract_z
Fe1 Fe 0.000 0.044 0.250
Fe2 Fe 0.000 0.454 0.250
Br1 Br 0.000 0.155 0.750
# Total magnetic moment ... 1.2 Bohr magnetons per cell
# D(E_F) ... 2.1 states/eV/f.u.


iv) # Fe2Br, optimized geometry, DFT GGA-PBE
data_Fe2Br
_chemical_formula_sum 'Fe4 Br2'
_space_group_name_H-M_alt 'I m m m'
_space_group_IT_number 71
_space_group_name_Hall '-I 2 2'
_cell_length_a 3.013
_cell_length_b 3.173
_cell_length_c 11.136
_cell_angle_alpha 90.00
_cell_angle_beta 90.00
_cell_angle_gamma 90.00
loop_
_atom_site_label
_atom_site_type_symbol
_atom_site_fract_x
_atom_site_fract_y
_atom_site_fract_z
Fe1 Fe 0.000 0.000 0.193
Br1 Br 0.000 0.500 0.500
# Total magnetic moment ... 11.9 Bohr magnetons per cell
# D(E_F) ... 2.7 states/eV/f.u.


Quick one: least stable of them? iv)


i) # Fe4Br3, optimized geometry, DFT GGA-PBE
data_Fe4Br3
_chemical_formula_sum 'Fe8 Br6'
_space_group_name_H-M_alt 'I 4/m m m'
_space_group_IT_number 139
_space_group_name_Hall '-I 4 2'
_cell_length_a 3.294
_cell_length_b 3.294
_cell_length_c 24.610
_cell_angle_alpha 90.00
_cell_angle_beta 90.00
_cell_angle_gamma 90.00
loop_
_atom_site_label
_atom_site_type_symbol
_atom_site_fract_x
_atom_site_fract_y
_atom_site_fract_z
Fe1 Fe 0.000 0.000 0.076
Fe2 Fe 0.000 0.000 0.384
Br1 Br 0.000 0.000 0.179
Br2 Br 0.000 0.000 0.500
# Total magnetic moment ... 23.5 Bohr magnetons per cell
# D(E_F) ... 4.4 states/eV/f.u.


ii) # Fe4Br3, optimized geometry, DFT GGA-PBE
data_Fe4Br3
_chemical_formula_sum 'Fe4 Br3'
_space_group_name_H-M_alt 'P 6/m m m'
_space_group_IT_number 191
_space_group_name_Hall '-P 6 2'
_cell_length_a 6.4161
_cell_length_b 6.4161
_cell_length_c 4.2942
_cell_angle_alpha 90.00
_cell_angle_beta 90.00
_cell_angle_gamma 120.00
loop_
_atom_site_label
_atom_site_type_symbol
_atom_site_fract_x
_atom_site_fract_y
_atom_site_fract_z
Fe1 Fe 0.0000 0.0000 0.2462
Fe2 Fe 0.3333 0.6667 0.0000
Br1 Br 0.0000 0.5000 0.5000
# Total magnetic moment ... 13.2 Bohr magnetons per cell
# D(E_F) ... 11.4 states/eV/f.u.


Quick one: least stable of them? ii)


i) # Fe4Br, optimized geometry, DFT GGA-PBE
data_Fe4Br
_chemical_formula_sum 'Fe8 Br2'
_space_group_name_H-M_alt 'I 4/m m m'
_space_group_IT_number 139
_space_group_name_Hall '-I 4 2'
_cell_length_a 3.349
_cell_length_b 3.349
_cell_length_c 14.449
_cell_angle_alpha 90.00
_cell_angle_beta 90.00
_cell_angle_gamma 90.00
loop_
_atom_site_label
_atom_site_type_symbol
_atom_site_fract_x
_atom_site_fract_y
_atom_site_fract_z
Fe1 Fe 0.000 0.000 0.124
Fe2 Fe 0.000 0.500 0.250
Br1 Br 0.000 0.000 0.500
# Total magnetic moment ... 21.3 Bohr magnetons per cell
# D(E_F) ... 3.8 states/eV/f.u.


ii) # Fe4Br, optimized geometry, DFT GGA-PBE
data_Fe4Br
_chemical_formula_sum 'Fe4 Br1'
_space_group_name_H-M_alt 'P m -3 m'
_space_group_IT_number 221
_space_group_name_Hall '-P 4 2 3'
_cell_length_a 4.309
_cell_length_b 4.309
_cell_length_c 4.309
_cell_angle_alpha 90.00
_cell_angle_beta 90.00
_cell_angle_gamma 90.00
loop_
_atom_site_label
_atom_site_type_symbol
_atom_site_fract_x
_atom_site_fract_y
_atom_site_fract_z
Fe1 Fe 0.000 0.000 0.000
Fe2 Fe 0.000 0.500 0.500
Br1 Br 0.500 0.500 0.500
# Total magnetic moment ... 9.1 Bohr magnetons per cell
# D(E_F) ... 7.1 states/eV/f.u.


Quick one: least stable of them? ii)